# Pm4Nd2Pb3O2 PBE relaxed
# Crystal system: tetragonal
data_Pm4Nd2Pb3O2
_symmetry_space_group_name_H-M 'I 4/m m m'
_symmetry_Int_Tables_number 139
_symmetry_space_group_name_Hall '-I 4 2'
_cell_length_a 4.813
_cell_length_b 4.813
_cell_length_c 26.212
_cell_angle_alpha 90.00
_cell_angle_beta 90.00
_cell_angle_gamma 90.00
loop_
_atom_site_label
_atom_site_type_symbol
_atom_site_fract_x
_atom_site_fract_y
_atom_site_fract_z
Pm1 Pm 0.000 0.500 0.083
Nd1 Nd 0.000 0.000 0.194
Pb1 Pb 0.000 0.000 0.322
Pb2 Pb 0.000 0.000 0.500
O1 O 0.000 0.000 0.100


# NaTc3Br PBE relaxed
# Crystal system: cubic
data_NaTc3Br
_symmetry_space_group_name_H-M 'P m -3 m'
_symmetry_Int_Tables_number 221
_symmetry_space_group_name_Hall '-P 4 2 3'
_cell_length_a 5.017
_cell_length_b 5.017
_cell_length_c 5.017
_cell_angle_alpha 90.00
_cell_angle_beta 90.00
_cell_angle_gamma 90.00
loop_
_atom_site_label
_atom_site_type_symbol
_atom_site_fract_x
_atom_site_fract_y
_atom_site_fract_z
Na1 Na 0.000 0.000 0.000
Tc1 Tc 0.000 0.000 0.500
Br1 Br 0.500 0.500 0.500


| no. | calculated total energy (eV for the cell shown) | theoretical density (g/cm3) |
| --- | --- | --- |
| 1 | -129.5 | 8.32 |
| 2 | -20.7 | 5.22 |